[1]
Mg6CdPd: optimized geometry, GGA-PBE.

```
data_Mg6CdPd
_chemical_formula_sum 'Mg12 Cd2 Pd2'
_cell_length_a 4.685
_cell_length_b 4.685
_cell_length_c 14.969
_cell_angle_alpha 90.00
_cell_angle_beta 90.00
_cell_angle_gamma 90.00
_space_group_name_H-M_alt 'I 4/m m m'
_space_group_IT_number 139
_space_group_name_Hall '-I 4 2'
loop_
_atom_site_label
_atom_site_type_symbol
_atom_site_fract_x
_atom_site_fract_y
_atom_site_fract_z
Mg1 Mg 0.000 0.000 0.248
Mg2 Mg 0.000 0.500 0.110
Cd1 Cd 0.000 0.000 0.500
Pd1 Pd 0.000 0.000 0.000
```

Properties
Energy above the lowest structure with this stoichiometry ... 23 meV per atom
Spin magnetization ... 0.0 μB per formula unit

[2]
Mg6Cd3Pd: optimized geometry, GGA-PBE.

```
data_Mg6Cd3Pd
_chemical_formula_sum 'Mg24 Cd12 Pd4'
_cell_length_a 10.313
_cell_length_b 10.313
_cell_length_c 10.313
_cell_angle_alpha 90.00
_cell_angle_beta 90.00
_cell_angle_gamma 90.00
_space_group_name_H-M_alt 'F m -3 m'
_space_group_IT_number 225
_space_group_name_Hall '-F 4 2 3'
loop_
_atom_site_label
_atom_site_type_symbol
_atom_site_fract_x
_atom_site_fract_y
_atom_site_fract_z
Mg1 Mg 0.000 0.000 0.241
Cd1 Cd 0.000 0.000 0.500
Cd2 Cd 0.250 0.250 0.250
Pd1 Pd 0.000 0.000 0.000
```

Properties
Energy above the lowest structure with this stoichiometry ... 287 meV per atom
Spin magnetization ... 0.0 μB per formula unit

[3]
Mg6Cd3Pd: optimized geometry, GGA-PBE.

```
data_Mg6Cd3Pd
_chemical_formula_sum 'Mg12 Cd6 Pd2'
_cell_length_a 8.768
_cell_length_b 4.697
_cell_length_c 10.133
_cell_angle_alpha 90.00
_cell_angle_beta 101.73
_cell_angle_gamma 90.00
_space_group_name_H-M_alt 'P 1 21/m 1'
_space_group_IT_number 11
_space_group_name_Hall '-P 2yb'
loop_
_atom_site_label
_atom_site_type_symbol
_atom_site_fract_x
_atom_site_fract_y
_atom_site_fract_z
Mg1 Mg 0.050 0.250 0.406
Mg2 Mg 0.163 0.750 0.193
Mg3 Mg 0.289 0.250 0.006
Mg4 Mg 0.359 0.250 0.303
Mg5 Mg 0.370 0.750 0.833
Mg6 Mg 0.440 0.250 0.613
Cd1 Cd 0.044 0.750 0.898
Cd2 Cd 0.148 0.250 0.714
Cd3 Cd 0.262 0.750 0.499
Pd1 Pd 0.445 0.750 0.121
```

Properties
Energy above the lowest structure with this stoichiometry ... 0 meV per atom
Spin magnetization ... 0.0 μB per formula unit

[4]
Mg2CdPd3: optimized geometry, GGA-PBE.

```
data_Mg2CdPd3
_chemical_formula_sum 'Mg2 Cd1 Pd3'
_cell_length_a 3.105
_cell_length_b 3.105
_cell_length_c 10.294
_cell_angle_alpha 90.00
_cell_angle_beta 90.00
_cell_angle_gamma 90.00
_space_group_name_H-M_alt 'P 4/m m m'
_space_group_IT_number 123
_space_group_name_Hall '-P 4 2'
loop_
_atom_site_label
_atom_site_type_symbol
_atom_site_fract_x
_atom_site_fract_y
_atom_site_fract_z
Mg1 Mg 0.000 0.000 0.162
Cd1 Cd 0.000 0.000 0.500
Pd1 Pd 0.500 0.500 0.000
Pd2 Pd 0.500 0.500 0.320
```

Properties
Energy above the lowest structure with this stoichiometry ... 6 meV per atom
Spin magnetization ... 0.0 μB per formula unit

[5]
Mg5CdPd2: optimized geometry, GGA-PBE.

```
data_Mg5CdPd2
_chemical_formula_sum 'Mg10 Cd2 Pd4'
_cell_length_a 5.877
_cell_length_b 11.491
_cell_length_c 4.380
_cell_angle_alpha 90.00
_cell_angle_beta 90.00
_cell_angle_gamma 90.00
_space_group_name_H-M_alt 'P b a m'
_space_group_IT_number 55
_space_group_name_Hall '-P 2 2ab'
loop_
_atom_site_label
_atom_site_type_symbol
_atom_site_fract_x
_atom_site_fract_y
_atom_site_fract_z
Mg1 Mg 0.000 0.000 0.000
Mg2 Mg 0.065 0.256 0.000
Mg3 Mg 0.212 0.620 0.500
Cd1 Cd 0.000 0.500 0.000
Pd1 Pd 0.193 0.869 0.500
```

Properties
E_tot ... -2.792 eV/atom
Spin magnetization ... 0.0 μB per formula unit

[6]
Mg5Cd4Pd2: optimized geometry, GGA-PBE.

```
data_Mg5Cd4Pd2
_chemical_formula_sum 'Mg10 Cd8 Pd4'
_cell_length_a 7.554
_cell_length_b 17.735
_cell_length_c 3.245
_cell_angle_alpha 90.00
_cell_angle_beta 90.00
_cell_angle_gamma 90.00
_space_group_name_H-M_alt 'P b a m'
_space_group_IT_number 55
_space_group_name_Hall '-P 2 2ab'
loop_
_atom_site_label
_atom_site_type_symbol
_atom_site_fract_x
_atom_site_fract_y
_atom_site_fract_z
Mg1 Mg 0.000 0.000 0.000
Mg2 Mg 0.129 0.422 0.000
Mg3 Mg 0.238 0.719 0.000
Cd1 Cd 0.066 0.849 0.500
Cd2 Cd 0.206 0.569 0.500
Pd1 Pd 0.050 0.306 0.500
```

Properties
E_tot ... -2.344 eV/atom
Spin magnetization ... 0.0 μB per formula unit

[7]
MgCd2Pd: optimized geometry, GGA-PBE.

```
data_MgCd2Pd
_chemical_formula_sum 'Mg4 Cd8 Pd4'
_cell_length_a 4.058
_cell_length_b 4.058
_cell_length_c 20.278
_cell_angle_alpha 90.00
_cell_angle_beta 90.00
_cell_angle_gamma 90.00
_space_group_name_H-M_alt 'I -4 2 d'
_space_group_IT_number 122
_space_group_name_Hall 'I -4 2bw'
loop_
_atom_site_label
_atom_site_type_symbol
_atom_site_fract_x
_atom_site_fract_y
_atom_site_fract_z
Mg1 Mg 0.000 0.000 0.000
Cd1 Cd 0.240 0.250 0.625
Pd1 Pd 0.000 0.000 0.500
```

Properties
E_tot ... -2.265 eV/atom
Spin magnetization ... 0.0 μB per formula unit

[8]
Mg8Cd2Pd: optimized geometry, GGA-PBE.

```
data_Mg8Cd2Pd
_chemical_formula_sum 'Mg16 Cd4 Pd2'
_cell_length_a 17.050
_cell_length_b 4.981
_cell_length_c 5.435
_cell_angle_alpha 90.00
_cell_angle_beta 95.20
_cell_angle_gamma 90.00
_space_group_name_H-M_alt 'C 1 2/m 1'
_space_group_IT_number 12
_space_group_name_Hall '-C 2y'
loop_
_atom_site_label
_atom_site_type_symbol
_atom_site_fract_x
_atom_site_fract_y
_atom_site_fract_z
Mg1 Mg 0.042 0.000 0.246
Mg2 Mg 0.081 0.500 0.584
Mg3 Mg 0.158 0.500 0.110
Mg4 Mg 0.236 0.000 0.339
Cd1 Cd 0.154 0.000 0.801
Pd1 Pd 0.000 0.500 0.000
```

Properties
Energy above the lowest structure with this stoichiometry ... 17 meV per atom
Spin magnetization ... 0.0 μB per formula unit

[9]
Mg3CdPd: optimized geometry, GGA-PBE.

```
data_Mg3CdPd
_chemical_formula_sum 'Mg6 Cd2 Pd2'
_cell_length_a 4.536
_cell_length_b 7.827
_cell_length_c 5.784
_cell_angle_alpha 90.00
_cell_angle_beta 90.00
_cell_angle_gamma 90.00
_space_group_name_H-M_alt 'P m m n'
_space_group_IT_number 59
loop_
_space_group_symop_operation_xyz
'x,y,z'
'-x,-y,-z'
'-x+1/2,-y+1/2,z'
'x+1/2,y+1/2,-z'
'x+1/2,-y,-z'
'-x+1/2,y,z'
'-x,y+1/2,-z'
'x,-y+1/2,z'
loop_
_atom_site_label
_atom_site_type_symbol
_atom_site_fract_x
_atom_site_fract_y
_atom_site_fract_z
Mg1 Mg 0.250 0.059 0.208
Mg2 Mg 0.250 0.250 0.747
Cd1 Cd 0.250 0.750 0.537
Pd1 Pd 0.250 0.750 0.007
```

Properties
Energy above the lowest structure with this stoichiometry ... 9 meV per atom
Spin magnetization ... 0.0 μB per formula unit

[10]
Mg5Cd2Pd4: optimized geometry, GGA-PBE.

```
data_Mg5Cd2Pd4
_chemical_formula_sum 'Mg10 Cd4 Pd8'
_cell_length_a 19.073
_cell_length_b 2.979
_cell_length_c 7.153
_cell_angle_alpha 90.00
_cell_angle_beta 91.25
_cell_angle_gamma 90.00
_space_group_name_H-M_alt 'C 1 2/m 1'
_space_group_IT_number 12
_space_group_name_Hall '-C 2y'
loop_
_atom_site_label
_atom_site_type_symbol
_atom_site_fract_x
_atom_site_fract_y
_atom_site_fract_z
Mg1 Mg 0.000 0.000 0.000
Mg2 Mg 0.146 0.500 0.964
Mg3 Mg 0.181 0.500 0.519
Cd1 Cd 0.054 0.000 0.643
Pd1 Pd 0.100 0.000 0.265
Pd2 Pd 0.247 0.000 0.799
```

Properties
E_tot ... -3.141 eV/atom
Spin magnetization ... 0.0 μB per formula unit

Computed calculated density (g/cm³) in order:
3.69; 3.57; 4.79; 8.04; 5.02; 5.99; 7.07; 3.80; 4.72; 6.31